Compound: USi3IrPt
Source: the Alexandria database
Functional: PBE
Structure: optimized geometry

a b c (Å): 7.9293 7.9293 5.5826
angles (deg): 90.00 90.00 137.79
Fractional positions:
U  0.1833  0.8167  0.7500
U  0.8167  0.1833  0.2500
Si  0.2416  0.2416  0.0000
Si  0.2416  0.2416  0.5000
Si  0.2512  0.7488  0.2500
Si  0.7488  0.2512  0.7500
Si  0.7584  0.7584  0.0000
Si  0.7584  0.7584  0.5000
Ir  0.0929  0.9071  0.2500
Ir  0.9071  0.0929  0.7500
Pt  0.4103  0.5897  0.2500
Pt  0.5897  0.4103  0.7500

Properties
total magnetization = 0.37 μB per atom
SG = Cmcm
raw total energy = -7.4491 eV per atom



Compound: U2Si4Ir3Pt
Source: the Alexandria database
Functional: PBE
Structure: optimized geometry

a b c (Å): 4.0884 4.0884 10.0652
angles (deg): 90.00 90.00 90.00
Fractional positions:
U  0.0000  0.5000  0.2423
U  0.5000  0.0000  0.7577
Si  0.0000  0.0000  0.0000
Si  0.0000  0.5000  0.6375
Si  0.5000  0.0000  0.3625
Si  0.5000  0.5000  0.0000
Ir  0.0000  0.5000  0.8721
Ir  0.5000  0.0000  0.1279
Ir  0.5000  0.5000  0.5000
Pt  0.0000  0.0000  0.5000

Properties
total magnetization = 0.34 μB per atom
SG = P-4m2
raw total energy = -8.4634 eV per atom



Compound: U3Si6IrPt2
Source: the Alexandria database
Functional: PBE
Structure: optimized geometry

a b c (Å): 5.6858 5.6858 7.6419
angles (deg): 90.00 90.00 120.00
Fractional positions:
U  0.0000  0.0000  0.0000
U  0.3333  0.6667  0.6515
U  0.6667  0.3333  0.3485
Si  0.1893  0.3786  0.2978
Si  0.1893  0.8107  0.2978
Si  0.3786  0.1893  0.7022
Si  0.6214  0.8107  0.2978
Si  0.8107  0.1893  0.7022
Si  0.8107  0.6214  0.7022
Ir  0.0000  0.0000  0.5000
Pt  0.3333  0.6667  0.0226
Pt  0.6667  0.3333  0.9774

Properties
total magnetization = 0.17 μB per atom
SG = P-3m1
raw total energy = -7.6077 eV per atom